This record from Alexandria via LeMat-Bulk describes a PBEsol-optimized structure of La3CuSnSe7. The functional is meta-GGA SCAN.

Geometry as extended XYZ:
```
24
Lattice="6.204 0.000 0.000 0.000 10.648 0.000 0.000 -5.324 9.221" Properties=species:S:1:pos:R:3 pbc="T T T"
La 3.314 -2.262 7.973
La 0.212 5.774 5.945
La 0.212 7.586 1.248
La 3.314 2.712 7.193
La 0.212 2.612 2.028
La 3.314 -0.450 3.276
Cu 0.040 0.000 0.000
Cu 3.142 0.000 0.000
Sn 0.712 0.000 6.147
Sn 3.814 5.324 3.074
Se 0.108 -0.311 2.344
Se 3.210 5.635 6.877
Se 1.756 -2.152 5.259
Se 3.210 1.875 1.442
Se 1.318 5.324 3.074
Se 1.756 1.845 4.728
Se 4.858 3.479 4.493
Se 3.210 8.462 0.903
Se 4.858 7.476 3.962
Se 1.756 0.307 8.455
Se 4.858 5.017 0.766
Se 0.108 3.449 7.779
Se 4.420 0.000 6.147
Se 0.108 -3.138 8.318
```

***

This record from Alexandria via LeMat-Bulk describes a PBEsol-optimized structure of LaTiCuSe2. The functional is meta-GGA SCAN.

Geometry as extended XYZ:
```
5
Lattice="-3.512 -3.506 2.515 1.627 -4.079 -3.416 3.911 -1.390 3.523" Properties=species:S:1:pos:R:3 pbc="T T T"
Ti 1.955 -0.695 1.762
Cu 1.013 -4.488 1.311
Se 0.813 -2.040 -1.708
Se -1.756 -1.753 1.257
La 0.000 0.000 0.000
```

***

This record from Alexandria via LeMat-Bulk describes a PBEsol-optimized structure of LaCuSi. The functional is meta-GGA SCAN.

Geometry as extended XYZ:
```
6
Lattice="4.180 0.000 0.000 -2.090 3.620 0.000 0.000 0.000 8.203" Properties=species:S:1:pos:R:3 pbc="T T T"
Si 2.090 1.207 6.152
Si 0.000 2.413 2.051
Cu 0.000 2.413 6.152
Cu 2.090 1.207 2.051
La 0.000 0.000 0.000
La 0.000 0.000 4.101
```

***

| no. | raw total energy (eV/atom) |
| --- | --- |
| 1 | -28.349 |
| 2 | -22.177 |
| 3 | -23.433 |